(1)
Compound: Sr6As19Rh30
Source: Alexandria via LeMat-Bulk
Functional: GGA-PBEsol
Structure: relaxed

E_form	-0.681	eV/atom
M_tot	0.00	μB/cell
E	-389.66	eV per cell

Lattice parameters (Å, degrees): 16.0982 16.0982 3.8970 90.00 90.00 120.00
Positions (direct):
Sr  0.0367  0.2730  0.0000
Sr  0.2363  0.9633  0.0000
Sr  0.4304  0.3700  0.4999
Sr  0.6300  0.0604  0.4999
Sr  0.7270  0.7637  0.0000
Sr  0.9396  0.5696  0.4999
As  0.0158  0.1161  0.4993
As  0.0775  0.5496  0.9993
As  0.1003  0.9842  0.4993
As  0.1946  0.4109  0.5006
As  0.2163  0.8054  0.5006
As  0.2711  0.2339  0.9994
As  0.3333  0.6667  0.2485
As  0.3956  0.0995  0.5006
As  0.4504  0.5279  0.9993
As  0.4721  0.9225  0.9993
As  0.5664  0.3491  0.0007
As  0.5891  0.7837  0.5006
As  0.6509  0.2173  0.0007
As  0.7039  0.6044  0.5006
As  0.7661  0.0372  0.9994
As  0.7827  0.4336  0.0007
As  0.8839  0.8997  0.4993
As  0.9005  0.2961  0.5006
As  0.9628  0.7289  0.9994
Rh  0.0583  0.4416  0.5012
Rh  0.0692  0.8187  0.4985
Rh  0.1082  0.0935  0.9985
Rh  0.1082  0.7166  0.9987
Rh  0.1813  0.2505  0.4985
Rh  0.1842  0.6418  0.5018
Rh  0.2088  0.5174  0.9981
Rh  0.2596  0.1305  0.4996
Rh  0.2834  0.3916  0.9987
Rh  0.3085  0.7912  0.9981
Rh  0.3582  0.5423  0.5018
Rh  0.3833  0.9417  0.5012
Rh  0.4071  0.2029  0.0003
Rh  0.4577  0.8158  0.5018
Rh  0.4826  0.6915  0.9981
Rh  0.4854  0.0829  0.0014
Rh  0.5585  0.2399  0.5014
Rh  0.5584  0.6167  0.5012
Rh  0.5975  0.5146  0.0014
Rh  0.6084  0.8918  0.9987
Rh  0.6814  0.4415  0.5014
Rh  0.7495  0.9308  0.4985
Rh  0.7601  0.3186  0.5014
Rh  0.7958  0.5929  0.0003
Rh  0.7971  0.2042  0.0003
Rh  0.8695  0.1291  0.4996
Rh  0.8709  0.7404  0.4996
Rh  0.9065  0.0147  0.9985
Rh  0.9171  0.4025  0.0014
Rh  0.9853  0.8918  0.9985

***

(2)
Compound: SrTa2AsRh
Source: Alexandria via LeMat-Bulk
Functional: GGA-PBEsol
Structure: relaxed

E_form	2.865	eV/atom
M_tot	0.00	μB/cell
E	-25.86	eV per cell

Lattice parameters (Å, degrees): 4.7842 4.7842 5.0288 90.00 90.00 90.00
Positions (direct):
Sr  0.0000  0.0000  0.0000
Ta  0.0000  0.5000  0.0000
Ta  0.5000  0.0000  0.0000
As  0.0000  0.0000  0.5000
Rh  0.5000  0.5000  0.5000